Here is a geometry-optimized GaTePd2C structure from Alexandria via LeMat-Bulk. Energies are from PBE.

POSCAR file:
```
GaTePd2C
1.0
5.0689 0.0000 0.0000
0.0000 5.0689 0.0000
0.0000 0.0000 4.2745
Ga Te Pd C
1 1 2 1
Cartesian
0.0000 0.0000 0.0000
2.5345 2.5345 2.1373
0.0000 2.5345 2.1373
2.5345 0.0000 2.1373
2.5345 2.5345 0.0000
```

* formation energy without anion corrections: 1.1503 eV/atom
* calculated volume: 109.83 Å³/cell
* relative energy among the computed polymorphs: 664 meV/atom
* total magnetic moment: 0.00 Bohr magnetons per cell

=====

Here is a geometry-optimized HoZrAgS4 structure from Alexandria via LeMat-Bulk. Energies are from PBE.

POSCAR file:
```
HoZrAgS4
1.0
-3.8207 3.9567 5.5165
3.8207 -3.9567 5.5165
3.8207 3.9567 -5.5165
Ho Zr Ag S
2 2 2 8
Cartesian
0.0000 0.0000 0.0000
0.0000 3.9567 0.0000
-1.9104 1.9784 2.7583
1.9104 1.9784 2.7583
3.8207 1.9784 -1.4065
0.0000 1.9784 6.9231
1.8399 1.9784 0.1900
1.9808 -1.9784 5.7065
0.0000 0.1978 2.7346
3.8207 0.1978 2.7820
0.0000 3.7589 2.7346
3.8207 3.7589 2.7820
1.8399 5.9351 -0.1900
1.9808 1.9784 5.3265
```

* formation energy without anion corrections: -1.4289 eV/atom
* calculated volume: 333.58 Å³/cell
* total magnetic moment: 0.00 Bohr magnetons per cell